# Rb2InNiF | Alexandria via LeMat-Bulk | PBE with a Hubbard U | optimized geometry
# calculated volume = 44.440 A^3/atom
# energy = -7.85 eV for the cell shown
data_Rb2InNiF
_space_group_name_H-M_alt 'P 4/m m m'
_space_group_IT_number 123
_space_group_name_Hall '-P 4 2'
_cell_length_a 6.952
_cell_length_b 6.952
_cell_length_c 4.598
_cell_angle_alpha 90.00
_cell_angle_beta 90.00
_cell_angle_gamma 90.00
loop_
_atom_site_label
_atom_site_type_symbol
_atom_site_fract_x
_atom_site_fract_y
_atom_site_fract_z
Rb1 Rb 0.000 0.500 0.000
In1 In 0.000 0.000 0.000
Ni1 Ni 0.500 0.500 0.500
F1 F 0.000 0.000 0.500